Material: Ac2GaHg3
Method: DFT, GGA-PBE
State: relaxed

Results
* energy of formation: -0.48 eV/atom

POSCAR file:
```
Ac2GaHg3
1.0
6.090 -0.472 -1.970
-1.504 5.920 -1.970
0.388 0.462 9.497
Ac Ga Hg
4 2 6
direct
0.250 0.750 0.500
0.760 0.760 0.000
0.750 0.250 0.500
0.240 0.240 0.000
0.665 0.665 0.330
0.335 0.335 0.670
0.345 0.826 0.171
0.174 0.655 0.829
0.655 0.174 0.829
0.826 0.345 0.171
0.172 0.172 0.343
0.828 0.828 0.657
```

***

Material: AcZrGa2Pt5
Method: DFT, GGA-PBE
State: relaxed

Results
* energy of formation: -0.79 eV/atom

POSCAR file:
```
AcZrGa2Pt5
1.0
-1.484 3.638 1.265
-2.735 -1.950 2.399
7.572 0.068 8.688
Ac Zr Ga Pt
1 1 2 5
direct
0.000 0.000 0.500
0.000 0.000 0.000
0.500 0.500 0.285
0.500 0.500 0.715
0.000 0.500 0.160
0.500 0.000 0.160
0.000 0.500 0.840
0.500 0.000 0.840
0.500 0.500 0.500
```

***

Material: GdZrPa
Method: DFT, GGA-PBE
State: relaxed

Results
* energy of formation: 0.17 eV/atom

POSCAR file:
```
GdZrPa
1.0
3.213 0.000 0.000
0.000 3.213 0.000
-1.607 -1.607 7.624
Gd Pa Zr
1 1 1
direct
0.950 0.950 0.901
0.623 0.623 0.245
0.277 0.277 0.554
```

***

Material: Ca2AgSe
Method: DFT, GGA-PBE
State: relaxed

Results
* uncorrected formation energy: -0.916 eV per atom

POSCAR file:
```
Ca2AgSe
1.0
-4.717 -2.072 -0.253
0.299 -0.051 -5.149
1.505 -3.440 0.121
Ca Se Ag
2 1 1
direct
0.000 0.000 0.000
0.500 0.500 0.000
0.500 0.000 0.500
0.000 0.500 0.500
```

***

M_tot (computed, μB per cell): 0.000 0.000 7.132 0.000
Volume (computed, A^3/atom): 28.95 21.82 26.24 24.98